Record 1
A relaxed LiCeBe17 crystal. Source: Alexandria via LeMat-Bulk, functional PBE-GGA.

The density of states at the Fermi level is 18.3 states/eV/cell. The total energy comes out at -3.73 eV/atom.

CIF file:
```
data_LiCeBe17
_cell_length_a 7.6814
_cell_length_b 7.6814
_cell_length_c 11.0937
_cell_angle_alpha 90.00
_cell_angle_beta 90.00
_cell_angle_gamma 120.00
_symmetry_space_group_name_H-M 'R 3 m'
_symmetry_Int_Tables_number 160
_symmetry_space_group_name_Hall 'R 3 -2"'
loop_
_atom_site_label
_atom_site_type_symbol
_atom_site_fract_x
_atom_site_fract_y
_atom_site_fract_z
_atom_site_occupancy
Li1 Li 0.0000 0.0000 0.0000 1
Ce1 Ce 0.0000 0.0000 0.6842 1
Be1 Be 0.0000 0.0000 0.2411 1
Be2 Be 0.0000 0.0000 0.4347 1
Be3 Be 0.0044 0.5022 0.1794 1
Be4 Be 0.0520 0.3815 0.0030 1
Be5 Be 0.1711 0.3422 0.1732 1
Be6 Be 0.1754 0.3507 0.8258 1
```

***

Record 2
A relaxed LiCeBeN2 crystal. Source: Alexandria via LeMat-Bulk, functional PBE-GGA.

The density of states at the Fermi level is 6.8 states/eV/cell. The total energy comes out at -6.53 eV/atom.

CIF file:
```
data_LiCeBeN2
_cell_length_a 5.3287
_cell_length_b 3.7851
_cell_length_c 6.1888
_cell_angle_alpha 90.00
_cell_angle_beta 98.70
_cell_angle_gamma 90.00
_symmetry_space_group_name_H-M 'P 1 2/c 1'
_symmetry_Int_Tables_number 13
_symmetry_space_group_name_Hall '-P 2yc'
loop_
_atom_site_label
_atom_site_type_symbol
_atom_site_fract_x
_atom_site_fract_y
_atom_site_fract_z
_atom_site_occupancy
Li1 Li 0.0000 0.0343 0.2500 1
Ce1 Ce 0.5000 0.2600 0.7500 1
Be1 Be 0.0000 0.5000 0.0000 1
N1 N 0.2414 0.2609 0.0453 1
```

***

Record 3
A relaxed Li2CeBeO4 crystal. Source: Alexandria via LeMat-Bulk, functional PBE-GGA.

The total energy comes out at -6.72 eV/atom.

CIF file:
```
data_Li2CeBeO4
_cell_length_a 4.9900
_cell_length_b 4.9900
_cell_length_c 6.3255
_cell_angle_alpha 90.00
_cell_angle_beta 90.00
_cell_angle_gamma 90.00
_symmetry_space_group_name_H-M 'I -4 2 m'
_symmetry_Int_Tables_number 121
_symmetry_space_group_name_Hall 'I -4 2'
loop_
_atom_site_label
_atom_site_type_symbol
_atom_site_fract_x
_atom_site_fract_y
_atom_site_fract_z
_atom_site_occupancy
Li1 Li 0.0000 0.5000 0.2500 1
Ce1 Ce 0.0000 0.0000 0.0000 1
Be1 Be 0.0000 0.0000 0.5000 1
O1 O 0.2042 0.2042 0.3646 1
```

***

Record 4
A relaxed LiCe2BePt6 crystal. Source: Alexandria via LeMat-Bulk, functional PBE-GGA.

The density of states at the Fermi level is 33.9 states/eV/cell. The total energy comes out at -6.17 eV/atom.

CIF file:
```
data_LiCe2BePt6
_cell_length_a 5.6168
_cell_length_b 5.6168
_cell_length_c 20.1666
_cell_angle_alpha 90.00
_cell_angle_beta 90.00
_cell_angle_gamma 120.00
_symmetry_space_group_name_H-M 'R -3 m'
_symmetry_Int_Tables_number 166
_symmetry_space_group_name_Hall '-R 3 2"'
loop_
_atom_site_label
_atom_site_type_symbol
_atom_site_fract_x
_atom_site_fract_y
_atom_site_fract_z
_atom_site_occupancy
Li1 Li 0.0000 0.0000 0.0000 1
Ce1 Ce 0.0000 0.0000 0.2882 1
Be1 Be 0.0000 0.0000 0.5000 1
Pt1 Pt 0.0080 0.5040 0.7605 1
```

***

Record 5
A relaxed LiCe2Be3Pt4 crystal. Source: Alexandria via LeMat-Bulk, functional PBE-GGA.

The density of states at the Fermi level is 11.3 states/eV/cell. The total energy comes out at -5.72 eV/atom.

CIF file:
```
data_LiCe2Be3Pt4
_cell_length_a 4.0057
_cell_length_b 4.0057
_cell_length_c 10.1344
_cell_angle_alpha 90.00
_cell_angle_beta 90.00
_cell_angle_gamma 90.00
_symmetry_space_group_name_H-M 'P -4 m 2'
_symmetry_Int_Tables_number 115
_symmetry_space_group_name_Hall 'P -4 -2'
loop_
_atom_site_label
_atom_site_type_symbol
_atom_site_fract_x
_atom_site_fract_y
_atom_site_fract_z
_atom_site_occupancy
Li1 Li 0.0000 0.0000 0.0000 1
Ce1 Ce 0.0000 0.5000 0.7474 1
Be1 Be 0.0000 0.5000 0.3822 1
Be2 Be 0.5000 0.5000 0.0000 1
Pt1 Pt 0.0000 0.0000 0.5000 1
Pt2 Pt 0.0000 0.5000 0.1460 1
Pt3 Pt 0.5000 0.5000 0.5000 1
```

***

Record 6
A relaxed Li3Ce3BeS8 crystal. Source: Alexandria via LeMat-Bulk, functional PBE-GGA.

The density of states at the Fermi level is 27.5 states/eV/cell. The total energy comes out at -5.47 eV/atom.

CIF file:
```
data_Li3Ce3BeS8
_cell_length_a 12.7761
_cell_length_b 8.0205
_cell_length_c 7.6384
_cell_angle_alpha 90.00
_cell_angle_beta 123.76
_cell_angle_gamma 90.00
_symmetry_space_group_name_H-M 'C 1 2/m 1'
_symmetry_Int_Tables_number 12
_symmetry_space_group_name_Hall '-C 2y'
loop_
_atom_site_label
_atom_site_type_symbol
_atom_site_fract_x
_atom_site_fract_y
_atom_site_fract_z
_atom_site_occupancy
Li1 Li 0.0000 0.0000 0.0000 1
Li2 Li 0.2500 0.2500 0.5000 1
Ce1 Ce 0.0000 0.5000 0.5000 1
Ce2 Ce 0.2500 0.2500 0.0000 1
Be1 Be 0.0000 0.0000 0.5000 1
S1 S 0.0035 0.2524 0.2586 1
S2 S 0.2001 0.0000 0.6988 1
S3 S 0.2411 0.0000 0.2438 1
```

***

Record 7
A relaxed LiCe2Be4Si3 crystal. Source: Alexandria via LeMat-Bulk, functional PBE-GGA.

The density of states at the Fermi level is 9.8 states/eV/cell. The total energy comes out at -4.83 eV/atom.

CIF file:
```
data_LiCe2Be4Si3
_cell_length_a 3.9825
_cell_length_b 3.9825
_cell_length_c 9.4503
_cell_angle_alpha 90.00
_cell_angle_beta 90.00
_cell_angle_gamma 90.00
_symmetry_space_group_name_H-M 'P -4 m 2'
_symmetry_Int_Tables_number 115
_symmetry_space_group_name_Hall 'P -4 -2'
loop_
_atom_site_label
_atom_site_type_symbol
_atom_site_fract_x
_atom_site_fract_y
_atom_site_fract_z
_atom_site_occupancy
Li1 Li 0.0000 0.0000 0.0000 1
Ce1 Ce 0.0000 0.5000 0.7426 1
Be1 Be 0.0000 0.0000 0.5000 1
Be2 Be 0.0000 0.5000 0.1315 1
Be3 Be 0.5000 0.5000 0.5000 1
Si1 Si 0.0000 0.5000 0.3690 1
Si2 Si 0.5000 0.5000 0.0000 1
```

***

Record 8
A relaxed LiCe2Be3Si4 crystal. Source: Alexandria via LeMat-Bulk, functional PBE-GGA.

The density of states at the Fermi level is 9.6 states/eV/cell. The total energy comes out at -5.06 eV/atom.

CIF file:
```
data_LiCe2Be3Si4
_cell_length_a 4.0401
_cell_length_b 4.0401
_cell_length_c 9.5154
_cell_angle_alpha 90.00
_cell_angle_beta 90.00
_cell_angle_gamma 90.00
_symmetry_space_group_name_H-M 'P -4 m 2'
_symmetry_Int_Tables_number 115
_symmetry_space_group_name_Hall 'P -4 -2'
loop_
_atom_site_label
_atom_site_type_symbol
_atom_site_fract_x
_atom_site_fract_y
_atom_site_fract_z
_atom_site_occupancy
Li1 Li 0.0000 0.0000 0.0000 1
Ce1 Ce 0.0000 0.5000 0.7440 1
Be1 Be 0.0000 0.5000 0.3776 1
Be2 Be 0.5000 0.5000 0.0000 1
Si1 Si 0.0000 0.0000 0.5000 1
Si2 Si 0.0000 0.5000 0.1399 1
Si3 Si 0.5000 0.5000 0.5000 1
```

***

Record 9
A relaxed CeMgBe17 crystal. Source: Alexandria via LeMat-Bulk, functional PBE-GGA.

The density of states at the Fermi level is 18.8 states/eV/cell. The total energy comes out at -3.73 eV/atom.

CIF file:
```
data_CeMgBe17
_cell_length_a 7.6959
_cell_length_b 7.6959
_cell_length_c 11.1404
_cell_angle_alpha 90.00
_cell_angle_beta 90.00
_cell_angle_gamma 120.00
_symmetry_space_group_name_H-M 'R 3 m'
_symmetry_Int_Tables_number 160
_symmetry_space_group_name_Hall 'R 3 -2"'
loop_
_atom_site_label
_atom_site_type_symbol
_atom_site_fract_x
_atom_site_fract_y
_atom_site_fract_z
_atom_site_occupancy
Ce1 Ce 0.0000 0.0000 0.0000 1
Mg1 Mg 0.0000 0.0000 0.6883 1
Be1 Be 0.0000 0.0000 0.2487 1
Be2 Be 0.0000 0.0000 0.4424 1
Be3 Be 0.0027 0.2831 0.3467 1
Be4 Be 0.0055 0.5028 0.8443 1
Be5 Be 0.0109 0.5054 0.1869 1
Be6 Be 0.1692 0.3384 0.8381 1
```

***

Record 10
A relaxed Ce2MgBe2O6 crystal. Source: Alexandria via LeMat-Bulk, functional PBE-GGA.

The density of states at the Fermi level is 12.4 states/eV/cell. The total energy comes out at -7.26 eV/atom.

CIF file:
```
data_Ce2MgBe2O6
_cell_length_a 5.4495
_cell_length_b 5.4495
_cell_length_c 6.3734
_cell_angle_alpha 90.00
_cell_angle_beta 90.00
_cell_angle_gamma 120.00
_symmetry_space_group_name_H-M 'P -3'
_symmetry_Int_Tables_number 147
_symmetry_space_group_name_Hall '-P 3'
loop_
_atom_site_label
_atom_site_type_symbol
_atom_site_fract_x
_atom_site_fract_y
_atom_site_fract_z
_atom_site_occupancy
Ce1 Ce 0.3333 0.6667 0.1786 1
Mg1 Mg 0.0000 0.0000 0.0000 1
Be1 Be 0.3333 0.6667 0.7670 1
O1 O 0.0969 0.7340 0.8197 1
```

***

Record 11
A relaxed Ce2MgBe3Pt4 crystal. Source: Alexandria via LeMat-Bulk, functional PBE-GGA.

The density of states at the Fermi level is 11.4 states/eV/cell. The total energy comes out at -5.69 eV/atom.

CIF file:
```
data_Ce2MgBe3Pt4
_cell_length_a 4.0233
_cell_length_b 4.0233
_cell_length_c 10.4875
_cell_angle_alpha 90.00
_cell_angle_beta 90.00
_cell_angle_gamma 90.00
_symmetry_space_group_name_H-M 'P -4 m 2'
_symmetry_Int_Tables_number 115
_symmetry_space_group_name_Hall 'P -4 -2'
loop_
_atom_site_label
_atom_site_type_symbol
_atom_site_fract_x
_atom_site_fract_y
_atom_site_fract_z
_atom_site_occupancy
Ce1 Ce 0.0000 0.5000 0.2374 1
Mg1 Mg 0.0000 0.0000 0.5000 1
Be1 Be 0.0000 0.5000 0.8864 1
Be2 Be 0.5000 0.5000 0.5000 1
Pt1 Pt 0.0000 0.0000 0.0000 1
Pt2 Pt 0.0000 0.5000 0.6576 1
Pt3 Pt 0.5000 0.5000 0.0000 1
```

***

Record 12
A relaxed CeMgBeZn crystal. Source: Alexandria via LeMat-Bulk, functional PBE-GGA.

The density of states at the Fermi level is 19.5 states/eV/cell. The total energy comes out at -3.17 eV/atom.

CIF file:
```
data_CeMgBeZn
_cell_length_a 6.7518
_cell_length_b 6.7518
_cell_length_c 6.7518
_cell_angle_alpha 90.00
_cell_angle_beta 90.00
_cell_angle_gamma 90.00
_symmetry_space_group_name_H-M 'F -4 3 m'
_symmetry_Int_Tables_number 216
_symmetry_space_group_name_Hall 'F -4 2 3'
loop_
_atom_site_label
_atom_site_type_symbol
_atom_site_fract_x
_atom_site_fract_y
_atom_site_fract_z
_atom_site_occupancy
Ce1 Ce 0.0000 0.0000 0.0000 1
Mg1 Mg 0.0000 0.0000 0.5000 1
Be1 Be 0.2500 0.2500 0.2500 1
Zn1 Zn 0.2500 0.2500 0.7500 1
```